[1]
DFT (PBE-GGA) results for a relaxed Li2BeNiRh crystal.

Its electronic total energy is -17.23 eV/cell. As for the space group: P4/mmm. Its size of the total moment is 0.756 μB/f.u. For the calculated formation energy, the calculation gives 692 meV per atom. The calculation puts the density of states at the Fermi level at 0.564 states/eV per atom.

```
5
Lattice="4.081 0.000 0.000 0.000 4.081 0.000 0.000 0.000 4.598" Properties=species:S:1:pos:R:3 pbc="T T T"
Li 0.000 2.041 0.000
Li 2.041 0.000 0.000
Be 0.000 0.000 2.299
Ni 2.041 2.041 0.000
Rh 2.041 2.041 2.299
```

***

[2]
DFT (PBE-GGA) results for a relaxed LiBeNiSb2 crystal.

Its electronic total energy is -17.42 eV/cell. As for the space group: P4/mmm. Its size of the total moment is 0.000 μB/f.u. The calculation puts the density of states at the Fermi level at 0.635 states/eV per atom. Its formation energy (no corrections) is 0.449 eV/atom.

```
5
Lattice="4.887 0.000 0.000 0.000 4.887 0.000 0.000 0.000 4.375" Properties=species:S:1:pos:R:3 pbc="T T T"
Li 0.000 0.000 0.000
Be 2.444 2.444 0.000
Ni 0.000 0.000 2.187
Sb 0.000 2.444 2.187
Sb 2.444 0.000 2.187
```

***

[3]
DFT (PBE-GGA) results for a relaxed LiScBeNi2 crystal.

Its electronic total energy is -19.65 eV/cell. As for the space group: P4/mmm. Its size of the total moment is 0.000 μB/f.u. For the calculated formation energy, the calculation gives 776 meV per atom. The calculation puts the density of states at the Fermi level at 1.374 states/eV per atom.

```
5
Lattice="4.025 0.000 0.000 0.000 4.025 0.000 0.000 0.000 4.358" Properties=species:S:1:pos:R:3 pbc="T T T"
Li 0.000 0.000 0.000
Sc 0.000 0.000 2.179
Be 2.013 2.013 2.179
Ni 0.000 2.013 0.000
Ni 2.013 0.000 0.000
```

***

[4]
DFT (PBE-GGA) results for a relaxed Li2Be2SiNi5 crystal.

Its electronic total energy is -96.82 eV/cell. As for the space group: P4/mbm. Its size of the total moment is 0.000 μB/f.u. The calculation puts the density of states at the Fermi level at 0.333 states/eV per atom. Its formation energy (no corrections) is -0.280 eV/atom.

```
20
Lattice="9.047 0.000 0.000 0.000 9.047 0.000 0.000 0.000 2.678" Properties=species:S:1:pos:R:3 pbc="T T T"
Li 1.588 2.936 0.000
Li 2.936 7.459 0.000
Li 6.111 1.588 0.000
Li 7.459 6.111 0.000
Be 1.156 5.680 0.000
Be 3.368 1.156 0.000
Be 5.680 7.891 0.000
Be 7.891 3.368 0.000
Si 0.000 0.000 0.000
Si 4.524 4.524 0.000
Ni 0.000 4.524 1.339
Ni 0.526 7.213 1.339
Ni 1.835 0.526 1.339
Ni 2.689 5.049 1.339
Ni 3.998 2.689 1.339
Ni 4.524 0.000 1.339
Ni 5.049 6.358 1.339
Ni 6.358 3.998 1.339
Ni 7.213 8.522 1.339
Ni 8.522 1.835 1.339
```

***

[5]
DFT (PBE-GGA) results for a relaxed Li3Y2BeNi12 crystal.

Its electronic total energy is -89.66 eV/cell. As for the space group: R-3m. Its size of the total moment is 0.000 μB/f.u. For the calculated formation energy, the calculation gives 117 meV per atom. The calculation puts the density of states at the Fermi level at 1.269 states/eV per atom.

```
18
Lattice="2.930 1.691 8.332 -2.930 1.691 8.332 0.000 -3.383 8.332" Properties=species:S:1:pos:R:3 pbc="T T T"
Li -1.465 -0.846 8.332
Li -1.465 0.846 16.665
Li 0.000 1.691 8.332
Y 0.000 0.000 3.771
Y 0.000 0.000 21.226
Be 0.000 0.000 12.499
Ni 0.000 -2.037 7.031
Ni -1.764 1.018 7.031
Ni -1.235 -0.713 10.886
Ni -1.764 -1.018 17.966
Ni 0.000 -1.427 14.112
Ni -1.235 0.713 14.112
Ni 1.235 -0.713 10.886
Ni 0.000 1.427 10.886
Ni 1.764 1.018 7.031
Ni 1.235 0.713 14.112
Ni 1.764 -1.018 17.966
Ni 0.000 2.037 17.966
```

***

[6]
DFT (PBE-GGA) results for a relaxed LiBeZnNi crystal.

Its electronic total energy is -13.22 eV/cell. As for the space group: F-43m. Its size of the total moment is 0.000 μB/f.u. For the calculated formation energy, the calculation gives -132 meV per atom. The calculation puts the density of states at the Fermi level at 0.252 states/eV per atom.

```
4
Lattice="0.000 2.815 2.815 2.815 0.000 2.815 2.815 2.815 0.000" Properties=species:S:1:pos:R:3 pbc="T T T"
Li 0.000 0.000 0.000
Be 1.407 1.407 1.407
Zn 4.222 4.222 4.222
Ni 2.815 2.815 2.815
```

***

[7]
DFT (PBE-GGA) results for a relaxed LiZrBeNi2 crystal.

Its electronic total energy is -20.07 eV/cell. As for the space group: P4/mmm. Its size of the total moment is 0.000 μB/f.u. For the calculated formation energy, the calculation gives 1137 meV per atom. The calculation puts the density of states at the Fermi level at 0.967 states/eV per atom.

```
5
Lattice="4.677 0.000 0.000 0.000 4.677 0.000 0.000 0.000 4.862" Properties=species:S:1:pos:R:3 pbc="T T T"
Li 0.000 0.000 0.000
Zr 2.339 2.339 2.431
Be 2.339 2.339 0.000
Ni 0.000 2.339 2.431
Ni 2.339 0.000 2.431
```

***

[8]
DFT (PBE-GGA) results for a relaxed LiZrBeNi crystal.

Its electronic total energy is -20.30 eV/cell. As for the space group: F-43m. Its size of the total moment is 0.001 μB/f.u. For the calculated formation energy, the calculation gives -83 meV per atom. The calculation puts the density of states at the Fermi level at 1.404 states/eV per atom.

```
4
Lattice="0.000 2.989 2.989 2.989 0.000 2.989 2.989 2.989 0.000" Properties=species:S:1:pos:R:3 pbc="T T T"
Li 0.000 0.000 0.000
Zr 4.483 4.483 4.483
Be 1.494 1.494 1.494
Ni 2.989 2.989 2.989
```

***

Q: size of the total moment of number 6 (LiBeZnNi)?
A: 0.000 μB/f.u.

***

Q: What is the formula in the seventh record?
A: LiZrBeNi2

***

Q: What is the formula in the first record?
A: Li2BeNiRh

***

Q: size of the total moment of number 4 (Li2Be2SiNi5)?
A: 0.000 μB/f.u.